DyZrFeNi | Alexandria via LeMat-Bulk | GGA-PBE | relaxed; formation energy from the elements = -0.1430 eV per atom; uncorrected energy = -6.99 eV per atom
1.0
4.617 0.000 0.000
2.308 3.998 0.000
2.308 1.333 3.769
Zr Fe Dy Ni
1 1 1 1
Cartesian
2.308 1.333 0.942
0.000 0.000 0.000
6.925 3.998 2.827
4.617 2.665 1.885

***

DyNpFe4 | Alexandria via LeMat-Bulk | GGA-PBE | relaxed; energy relative to the lowest polymorph listed for this composition = 84.3 meV per atom; formation energy from the elements = 0.1673 eV per atom; uncorrected energy = -8.40 eV per atom
1.0
5.043 0.000 0.000
2.521 4.367 0.000
2.521 1.456 4.117
Fe Dy Np
4 1 1
Cartesian
5.043 1.465 2.570
5.043 2.911 0.525
3.790 3.635 2.570
6.295 3.635 2.570
0.000 0.000 0.000
2.521 1.456 1.029

***

Dy2NpFe2 | Alexandria via LeMat-Bulk | GGA-PBE | relaxed; formation energy from the elements = -0.0511 eV per atom; uncorrected energy = -7.87 eV per atom
1.0
5.571 0.074 0.808
2.513 4.973 0.808
0.010 0.007 7.432
Fe Dy Np
4 4 2
Cartesian
0.609 1.158 7.523
1.303 0.036 3.808
6.792 5.018 5.240
7.486 3.895 1.524
3.158 1.208 1.684
5.617 2.743 3.648
4.936 3.846 7.364
2.478 2.310 5.400
5.238 0.626 6.382
2.857 4.428 2.666

***

DyNpFe2 | Alexandria via LeMat-Bulk | GGA-PBE | relaxed; energy relative to the lowest polymorph listed for this composition = 231.5 meV per atom; formation energy from the elements = 0.2794 eV per atom; uncorrected energy = -8.34 eV per atom
1.0
3.388 0.000 0.000
1.694 2.934 0.000
1.694 0.978 7.525
Dy Np Fe
1 1 2
Cartesian
3.388 1.956 3.763
0.000 0.000 0.000
1.694 0.978 1.602
5.081 2.934 5.924

***

Dy3Np2Fe4 | Alexandria via LeMat-Bulk | GGA-PBE | relaxed; formation energy from the elements = -0.0773 eV per atom; uncorrected energy = -8.25 eV per atom
1.0
3.992 0.000 0.000
-1.996 5.223 -1.343
0.000 0.198 8.376
Dy Np Fe
3 2 4
Cartesian
0.000 4.042 4.185
1.996 1.378 2.849
0.000 0.000 0.000
0.000 3.463 0.966
1.996 1.958 6.067
0.000 2.967 6.911
1.996 2.453 0.123
1.996 4.357 1.896
0.000 1.063 5.137

***

DyNpFe4 | Alexandria via LeMat-Bulk | GGA-PBE | relaxed; energy relative to the lowest polymorph listed for this composition = 0.0 meV per atom; formation energy from the elements = 0.0830 eV per atom; uncorrected energy = -8.48 eV per atom
1.0
-3.161 3.642 0.915
-1.627 -4.268 -1.798
-1.085 -2.940 7.959
Np Fe Dy
2 8 2
Cartesian
-3.686 -1.804 7.617
-2.186 -1.761 -0.542
-0.542 -1.470 3.979
-3.994 -0.549 1.558
-3.178 1.590 2.460
0.000 0.000 0.000
-2.695 -5.156 4.616
-1.593 -0.236 2.001
-1.879 -3.016 5.517
-4.279 -3.330 5.074
-3.270 -0.675 4.560
-2.603 -2.891 2.516

***

DyNpFe2 | Alexandria via LeMat-Bulk | GGA-PBE | relaxed; energy relative to the lowest polymorph listed for this composition = 0.0 meV per atom; formation energy from the elements = 0.0479 eV per atom; uncorrected energy = -8.57 eV per atom
1.0
4.432 0.000 0.000
0.000 7.658 0.000
0.000 0.000 8.609
Fe Dy Np
8 4 4
Cartesian
3.324 1.752 6.952
1.108 2.077 2.647
3.324 5.581 5.962
1.108 2.003 8.372
3.324 1.826 4.067
1.108 5.832 4.542
1.108 5.906 1.657
3.324 5.655 0.238
3.324 0.692 1.217
3.324 4.521 3.087
1.108 6.966 7.392
1.108 3.137 5.522
3.324 7.510 4.997
3.324 3.681 7.917
1.108 0.148 3.613
1.108 3.977 0.692

***

Dy3NpFe8 | Alexandria via LeMat-Bulk | GGA-PBE | relaxed; formation energy from the elements = -0.0366 eV per atom; uncorrected energy = -7.91 eV per atom
1.0
4.953 0.000 1.495
2.251 4.412 1.495
0.075 0.046 8.702
Fe Dy Np
8 3 1
Cartesian
5.695 1.966 7.992
5.028 3.080 10.199
4.339 4.179 7.992
1.395 0.855 4.330
5.647 1.936 3.689
4.291 4.151 3.689
6.824 4.179 8.742
3.161 1.936 2.938
7.194 4.406 3.026
3.656 2.239 5.794
2.771 1.697 8.724
6.265 3.837 6.103